Compound: LaMoF6
Source: the Alexandria database
Functional: PBE with a Hubbard U
Structure: optimized geometry

a b c (Å): 7.3208 6.4455 5.6665
angles (deg): 90.00 110.17 90.00
Space group C2/m (No. 12)
Inequivalent atoms, fractional coordinates:
La1 0.0000 0.0000 0.0000 x2
Mo1 0.0000 0.5000 0.5000 x2
F1 0.0909 0.2892 0.8026 x8
F2 0.2017 0.0000 0.4352 x4

Properties
Raw total energy ... -49.671 eV/f.u.
Volume ... 250.99 Å³/cell
N(E_F) ... 0.000 states/eV per atom
M_tot ... 6.0 μB/cell